A plane-wave DFT calculation with PBE was carried out for a relaxed structure of VNiHg.

Geometry as CIF:
```
data_VNiHg
_chemical_formula_sum 'V4 Ni4 Hg4'
_symmetry_space_group_name_H-M 'C 1 2/m 1'
_symmetry_Int_Tables_number 12
_symmetry_space_group_name_Hall '-C 2y'
_cell_length_a 10.474
_cell_length_b 3.095
_cell_length_c 5.849
_cell_angle_alpha 90.00
_cell_angle_beta 106.75
_cell_angle_gamma 90.00
loop_
_atom_site_label
_atom_site_fract_x
_atom_site_fract_y
_atom_site_fract_z
_atom_site_occupancy
V1 0.195 0.000 0.113 1
Ni1 0.184 0.000 0.582 1
Hg1 0.008 0.500 0.751 1
```

## Properties
electronic total energy	-58.799	eV/cell
formation enthalpy at 0 K	3.86	kcal/mol of atoms
DOS at the Fermi energy	12.66	states/eV/cell

=====

A plane-wave DFT calculation with PBE was carried out for a relaxed structure of NiHg2W.

Geometry as CIF:
```
data_NiHg2W
_chemical_formula_sum 'Ni1 Hg2 W1'
_symmetry_space_group_name_H-M 'P 4/m m m'
_symmetry_Int_Tables_number 123
_symmetry_space_group_name_Hall '-P 4 2'
_cell_length_a 2.871
_cell_length_b 2.871
_cell_length_c 8.242
_cell_angle_alpha 90.00
_cell_angle_beta 90.00
_cell_angle_gamma 90.00
loop_
_atom_site_label
_atom_site_fract_x
_atom_site_fract_y
_atom_site_fract_z
_atom_site_occupancy
Ni1 0.000 0.000 0.000 1
Hg1 0.500 0.500 0.228 1
W1 0.000 0.000 0.500 1
```

## Properties
electronic total energy	-16.866	eV/cell
formation enthalpy at 0 K	14.25	kcal/mol of atoms
DOS at the Fermi energy	2.63	states/eV/cell